Entry 1:
Material: ScTaTi2
Method: DFT, PBE
State: relaxed

Cell and atoms, written as CIF:
```
data_ScTaTi2
_cell_length_a 4.2998
_cell_length_b 4.2998
_cell_length_c 4.0698
_cell_angle_alpha 90.00
_cell_angle_beta 90.00
_cell_angle_gamma 90.00
_space_group_name_H-M_alt 'P 4/m m m'
_space_group_IT_number 123
_space_group_name_Hall '-P 4 2'
loop_
_atom_site_label
_atom_site_type_symbol
_atom_site_fract_x
_atom_site_fract_y
_atom_site_fract_z
Sc1 Sc 0.0000 0.0000 0.0000
Ta1 Ta 0.5000 0.5000 0.0000
Ti1 Ti 0.0000 0.5000 0.5000
```

Values from the calculation:
The value obtained for the density is 7.1 g/cm³. The density of states at the Fermi level comes out at 6.5 states/eV per cell. For the formation energy from the elements, the calculation gives 0.7 eV/f.u.

Entry 2:
Material: AlVC
Method: DFT, PBE
State: relaxed

Cell and atoms, written as CIF:
```
data_AlVC
_cell_length_a 2.8371
_cell_length_b 2.8371
_cell_length_c 9.2850
_cell_angle_alpha 90.00
_cell_angle_beta 90.00
_cell_angle_gamma 90.00
_space_group_name_H-M_alt 'I 4 m m'
_space_group_IT_number 107
_space_group_name_Hall 'I 4 -2'
loop_
_atom_site_label
_atom_site_type_symbol
_atom_site_fract_x
_atom_site_fract_y
_atom_site_fract_z
Al1 Al 0.0000 0.0000 0.0000
V1 V 0.0000 0.0000 0.7123
C1 C 0.0000 0.0000 0.2353
```

Values from the calculation:
The value obtained for the density is 4.0 g/cm³. The calculation puts the distance to the lowest polymorph of the same formula at 169 meV/atom. The density of states at the Fermi level comes out at 2.1 states/eV per cell. For the formation energy from the elements, the calculation gives 0.1 eV/f.u.